Ti2CrOsRh PBE optimized geometry; M_tot = 2.84 μB/f.u.; energy relative to the elements = 827 meV/atom
1.0
4.6670 0.0000 0.0000
0.0000 4.5611 0.0000
0.0000 0.0000 4.6670
Rh Ti Os Cr
1 2 1 1
direct
0.5000 0.5000 0.5000 Rh
0.0000 0.0000 0.5000 Ti
0.5000 0.0000 0.0000 Ti
0.0000 0.0000 0.0000 Os
0.0000 0.5000 0.0000 Cr

SrIrCl PBE optimized geometry; M_tot = 0.00 μB/f.u.; formation energy from raw total energies = -0.02 eV per atom
1.0
-1.5703 4.6619 0.3851
-0.4403 -3.0763 3.8328
8.0551 2.4729 2.9102
Sr Ir Cl
2 2 2
direct
0.3333 0.6667 0.2500 Sr
0.6667 0.3333 0.7500 Sr
0.0000 0.0000 0.0000 Ir
0.0000 0.0000 0.5000 Ir
0.0000 0.0000 0.2500 Cl
0.0000 0.0000 0.7500 Cl

CaPaSi2Pt4 PBE optimized geometry; M_tot = 0.00 μB/f.u.; formation energy from raw total energies = -0.84 eV per atom
1.0
4.2699 0.0000 0.0000
0.0000 4.2699 0.0000
0.0000 0.0000 8.6321
Ca Pa Si Pt
1 1 2 4
direct
0.0000 0.0000 0.5000 Ca
0.0000 0.0000 0.0000 Pa
0.5000 0.5000 0.3613 Si
0.5000 0.5000 0.6387 Si
0.0000 0.5000 0.2253 Pt
0.5000 0.0000 0.7747 Pt
0.5000 0.0000 0.2253 Pt
0.0000 0.5000 0.7747 Pt

Y6Se5 PBE optimized geometry; M_tot = 0.00 μB/f.u.; formation energy from raw total energies = -1.60 eV per atom
1.0
-4.6407 -4.1977 3.1897
1.5562 -6.7191 1.1547
1.0238 0.1991 6.9261
Y Se
6 5
direct
0.7543 0.0000 0.7455 Y
0.2457 0.0000 0.2545 Y
0.4102 0.6693 0.7549 Y
0.9205 0.6693 0.2451 Y
0.5898 0.3307 0.2451 Y
0.0795 0.3307 0.7549 Y
0.5000 0.0000 0.5000 Se
0.3356 0.3289 0.0000 Se
0.6644 0.6711 0.0000 Se
0.1715 0.6569 0.5000 Se
0.8285 0.3431 0.5000 Se

AlSb2Pt PBE optimized geometry; M_tot = 0.00 μB/f.u.; formation energy from raw total energies = -0.06 eV per atom
1.0
-3.5462 3.2116 -4.4198
-1.8452 -1.9999 -5.9178
0.1736 -0.8369 6.4571
Sb Al Pt
2 1 1
direct
0.0519 0.0519 0.0000 Sb
0.7439 0.2439 0.5000 Sb
0.4346 0.4346 0.0000 Al
0.2696 0.7696 0.5000 Pt

Ce2ThTc PBE optimized geometry; M_tot = 0.00 μB/f.u.; energy relative to the elements = -82 meV/atom
1.0
-5.1360 0.4768 -3.3601
-3.8580 -0.5043 5.8256
0.2441 9.6672 0.9985
Ce Th Tc
8 4 4
direct
0.1434 0.6695 0.0601 Ce
0.3566 0.1695 0.4399 Ce
0.8566 0.3305 0.5601 Ce
0.6434 0.8305 0.9399 Ce
0.8566 0.3305 0.9399 Ce
0.6434 0.8305 0.5601 Ce
0.1434 0.6695 0.4399 Ce
0.3566 0.1695 0.0601 Ce
0.6384 0.5467 0.2500 Th
0.8616 0.0467 0.2500 Th
0.3616 0.4533 0.7500 Th
0.1384 0.9533 0.7500 Th
0.1065 0.4010 0.2500 Tc
0.3935 0.9010 0.2500 Tc
0.8935 0.5990 0.7500 Tc
0.6065 0.0990 0.7500 Tc

Please write out number 3 again, unchanged.
CaPaSi2Pt4 PBE optimized geometry; M_tot = 0.00 μB/f.u.; formation energy from raw total energies = -0.84 eV per atom
1.0
4.2699 0.0000 0.0000
0.0000 4.2699 0.0000
0.0000 0.0000 8.6321
Ca Pa Si Pt
1 1 2 4
direct
0.0000 0.0000 0.5000 Ca
0.0000 0.0000 0.0000 Pa
0.5000 0.5000 0.3613 Si
0.5000 0.5000 0.6387 Si
0.0000 0.5000 0.2253 Pt
0.5000 0.0000 0.7747 Pt
0.5000 0.0000 0.2253 Pt
0.0000 0.5000 0.7747 Pt